1.
! PBE-GGA Ir2AuF, relaxed; values from VASP
! **Space group**: No. 225
! **Excess energy over the best structure of this formula in the dataset**: 93 meV per atom
! **Crystal system**: cubic
&SYSTEM
  ibrav = 0, nat = 4, ntyp = 3
/
ATOMIC_SPECIES
Ir 192.22 Ir.upf
Au 196.97 Au.upf
F 19.00 F.upf
CELL_PARAMETERS angstrom
0.000 3.110 3.110
3.110 0.000 3.110
3.110 3.110 0.000
ATOMIC_POSITIONS crystal
Ir 0.250 0.250 0.250
Ir 0.750 0.750 0.750
Au 0.500 0.500 0.500
F 0.000 0.000 0.000

2.
! PBE-GGA IrAuF3, relaxed; values from VASP
! **Space group**: No. 221
! **Excess energy over the best structure of this formula in the dataset**: 0 meV per atom
! **Crystal system**: cubic
&SYSTEM
  ibrav = 0, nat = 5, ntyp = 3
/
ATOMIC_SPECIES
Ir 192.22 Ir.upf
Au 196.97 Au.upf
F 19.00 F.upf
CELL_PARAMETERS angstrom
-3.160 -2.501 1.240
2.439 -1.561 3.065
-1.359 3.014 2.617
ATOMIC_POSITIONS crystal
Ir 0.000 0.000 0.000
Au 0.500 0.500 0.500
F 0.000 0.500 0.000
F 0.000 0.000 0.500
F 0.500 0.000 0.000

3.
! PBE-GGA KIr2AuF, relaxed; values from VASP
! **Space group**: No. 123
! **Crystal system**: tetragonal
&SYSTEM
  ibrav = 0, nat = 5, ntyp = 4
/
ATOMIC_SPECIES
K 39.10 K.upf
Ir 192.22 Ir.upf
Au 196.97 Au.upf
F 19.00 F.upf
CELL_PARAMETERS angstrom
4.910 0.000 0.000
0.000 4.276 0.000
0.000 0.000 4.910
ATOMIC_POSITIONS crystal
K 0.000 0.000 0.000
Ir 0.000 0.000 0.500
Ir 0.500 0.000 0.000
Au 0.500 0.500 0.500
F 0.000 0.500 0.000

| no. | formation energy without anion corrections (eV/atom) |
| --- | --- |
| 1 | 0.7041 |
| 2 | -0.3133 |
| 3 | 1.8223 |